1.
First-principles (GGA-PBE) data for crystalline AlTl4W at its relaxed geometry, as listed in Alexandria via LeMat-Bulk.

Cell: 6.1929 6.1929 6.1929 Å, 60.00 60.00 60.00°
Atoms (fractional coordinates):
Al: 0.0000 0.0000 0.0000
Tl: 0.3753 0.8741 0.3753
Tl: 0.8741 0.3753 0.3753
Tl: 0.3753 0.3753 0.8741
Tl: 0.3753 0.3753 0.3753
W: 0.7500 0.7500 0.7500

## Properties
- Electronic total energy: -3.16 eV per atom
- V: 27.991 Å³/atom
- N(E_F): 3.6 states/eV/f.u.
- ΔE_f: 7.2 eV per formula unit

---

2.
First-principles (GGA-PBE) data for crystalline AlTlW2 at its relaxed geometry, as listed in Alexandria via LeMat-Bulk.

Cell: 4.4570 3.9536 3.9536 Å, 90.00 90.00 90.00°
Atoms (fractional coordinates):
Tl: 0.5000 0.0000 0.5000
Al: 0.5000 0.5000 0.0000
W: 0.0000 0.0000 0.0000
W: 0.0000 0.5000 0.5000

## Properties
- Electronic total energy: -7.23 eV per atom
- V: 17.417 Å³/atom
- N(E_F): 3.9 states/eV/f.u.
- Polymorph energy (0 for the lowest one): 0.357 eV per atom
- ΔE_f: 3.1 eV per formula unit

---

3.
First-principles (GGA-PBE) data for crystalline AlTl3W at its relaxed geometry, as listed in Alexandria via LeMat-Bulk.

Cell: 5.4013 5.4013 5.4013 Å, 90.00 90.00 90.00°
Atoms (fractional coordinates):
Tl: 0.0000 0.5000 0.0000
Tl: 0.0000 0.0000 0.5000
Tl: 0.5000 0.0000 0.0000
Al: 0.5000 0.5000 0.5000
W: 0.0000 0.0000 0.0000

## Properties
- Electronic total energy: -3.81 eV per atom
- V: 31.515 Å³/atom
- N(E_F): 2.8 states/eV/f.u.
- Polymorph energy (0 for the lowest one): 0.000 eV per atom
- ΔE_f: 4.7 eV per formula unit

---

4.
First-principles (GGA-PBE) data for crystalline AlTlW2 at its relaxed geometry, as listed in Alexandria via LeMat-Bulk.

Cell: 4.9370 4.9370 4.9370 Å, 129.86 129.86 73.63°
Atoms (fractional coordinates):
Tl: 0.7500 0.2500 0.5000
Al: 0.5000 0.5000 0.0000
W: 0.0000 0.0000 0.0000
W: 0.2500 0.7500 0.5000

## Properties
- Electronic total energy: -7.33 eV per atom
- V: 17.296 Å³/atom
- N(E_F): 2.1 states/eV/f.u.
- Polymorph energy (0 for the lowest one): 0.265 eV per atom
- ΔE_f: 2.7 eV per formula unit

---

5.
First-principles (GGA-PBE) data for crystalline AlTlW2 at its relaxed geometry, as listed in Alexandria via LeMat-Bulk.

Cell: 5.0247 5.0247 5.1448 Å, 82.92 82.92 33.08°
Atoms (fractional coordinates):
Tl: 0.2496 0.2496 0.2582
Al: 0.4931 0.4931 0.5077
W: 0.0035 0.0035 0.9786
W: 0.7539 0.7539 0.7555

## Properties
- Electronic total energy: -7.33 eV per atom
- V: 17.578 Å³/atom
- N(E_F): 2.6 states/eV/f.u.
- Polymorph energy (0 for the lowest one): 0.259 eV per atom
- ΔE_f: 2.7 eV per formula unit

---

6.
First-principles (GGA-PBE) data for crystalline AlTl2W at its relaxed geometry, as listed in Alexandria via LeMat-Bulk.

Cell: 3.3205 2.8990 9.3553 Å, 80.99 90.00 90.00°
Atoms (fractional coordinates):
Tl: 0.0000 0.1899 0.9670
Tl: 0.5000 0.0481 0.2946
Al: 0.5000 0.8381 0.7035
W: 0.0000 0.4239 0.5349

## Properties
- Electronic total energy: -4.83 eV per atom
- V: 22.236 Å³/atom
- N(E_F): 2.8 states/eV/f.u.
- Polymorph energy (0 for the lowest one): 0.022 eV per atom
- ΔE_f: 2.1 eV per formula unit

---

7.
First-principles (GGA-PBE) data for crystalline AlTlW2 at its relaxed geometry, as listed in Alexandria via LeMat-Bulk.

Cell: 3.9087 3.9087 10.3783 Å, 79.15 79.15 90.00°
Atoms (fractional coordinates):
Tl: 0.0000 0.0000 0.0000
Tl: 0.7500 0.2500 0.5000
Al: 0.5000 0.5000 0.0000
Al: 0.2500 0.7500 0.5000
W: 0.5924 0.1250 0.2500
W: 0.1576 0.6250 0.2500
W: 0.3750 0.4076 0.7500
W: 0.8750 0.8424 0.7500

## Properties
- Electronic total energy: -7.09 eV per atom
- V: 19.104 Å³/atom
- N(E_F): 3.4 states/eV/f.u.
- Polymorph energy (0 for the lowest one): 0.500 eV per atom
- ΔE_f: 3.6 eV per formula unit

---

8.
First-principles (GGA-PBE) data for crystalline Al4TlW at its relaxed geometry, as listed in Alexandria via LeMat-Bulk.

Cell: 5.2308 5.2308 5.2308 Å, 60.00 60.00 60.00°
Atoms (fractional coordinates):
Al: 0.8784 0.3739 0.3739
Al: 0.3739 0.3739 0.8784
Al: 0.3739 0.8784 0.3739
Al: 0.3739 0.3739 0.3739
Tl: 0.7500 0.7500 0.7500
W: 0.0000 0.0000 0.0000

## Properties
- Electronic total energy: -4.77 eV per atom
- V: 16.867 Å³/atom
- N(E_F): 1.6 states/eV/f.u.
- ΔE_f: 1.7 eV per formula unit

---

9.
First-principles (GGA-PBE) data for crystalline AlTlW2 at its relaxed geometry, as listed in Alexandria via LeMat-Bulk.

Cell: 5.4243 5.4243 5.4243 Å, 145.54 128.74 63.23°
Atoms (fractional coordinates):
Tl: 0.2500 0.7500 0.5000
Al: 0.7500 0.2500 0.5000
W: 0.9912 0.9912 0.0000
W: 0.5088 0.5088 0.0000

## Properties
- Electronic total energy: -7.35 eV per atom
- V: 17.412 Å³/atom
- N(E_F): 2.4 states/eV/f.u.
- Polymorph energy (0 for the lowest one): 0.245 eV per atom
- ΔE_f: 2.6 eV per formula unit

---

10.
First-principles (GGA-PBE) data for crystalline AlTlW2 at its relaxed geometry, as listed in Alexandria via LeMat-Bulk.

Cell: 3.2668 3.2669 7.5093 Å, 64.15 90.00 90.00°
Atoms (fractional coordinates):
Tl: 0.5000 0.7491 0.7515
Al: 0.0000 0.5441 0.4555
W: 0.0000 0.9571 0.0427
W: 0.5000 0.2498 0.2504

## Properties
- Electronic total energy: -7.59 eV per atom
- V: 18.031 Å³/atom
- N(E_F): 2.0 states/eV/f.u.
- Polymorph energy (0 for the lowest one): 0.000 eV per atom
- ΔE_f: 1.6 eV per formula unit

---

11.
First-principles (GGA-PBE) data for crystalline AlTl2W at its relaxed geometry, as listed in Alexandria via LeMat-Bulk.

Cell: 3.0028 3.0028 9.5180 Å, 90.00 90.00 90.00°
Atoms (fractional coordinates):
Tl: 0.0000 0.0000 0.0105
Tl: 0.0000 0.0000 0.4895
Al: 0.5000 0.5000 0.7500
W: 0.5000 0.5000 0.2500

## Properties
- Electronic total energy: -4.50 eV per atom
- V: 21.455 Å³/atom
- N(E_F): 1.7 states/eV/f.u.
- Polymorph energy (0 for the lowest one): 0.348 eV per atom
- ΔE_f: 3.4 eV per formula unit

---

12.
First-principles (GGA-PBE) data for crystalline AlTl2W at its relaxed geometry, as listed in Alexandria via LeMat-Bulk.

Cell: 4.3635 4.3434 4.3434 Å, 90.00 90.00 90.00°
Atoms (fractional coordinates):
Tl: 0.0000 0.0000 0.0000
Tl: 0.0000 0.5000 0.5000
Al: 0.5000 0.0000 0.5000
W: 0.5000 0.5000 0.0000

## Properties
- Electronic total energy: -4.38 eV per atom
- V: 20.579 Å³/atom
- N(E_F): 2.3 states/eV/f.u.
- Polymorph energy (0 for the lowest one): 0.475 eV per atom
- ΔE_f: 3.9 eV per formula unit

---

Question: Among the records above, which one has the lowest V?
Answer: Al4TlW

---

Question: Which formula does entry 1 have?
Answer: AlTl4W

---

Question: Number 5 is which compound?
Answer: AlTlW2